This record from the Alexandria database describes a relaxed Zr2NpPt crystal. The functional is GGA-PBE.

Computed properties:
Formation enthalpy at 0 K   -1.2 eV/f.u.
Final energy   -9.32 eV/atom
N(E_F)   7.3 states/eV/cell

a b c (Å): 3.3200 3.3200 7.6346
angles (deg): 90.00 90.00 90.00
Closest atoms and distances in Å follow each position.
Element x y z (fractional)
Zr  0.0000  0.0000  0.2217  4 Pt 2.89, 4 Np 3.17
Zr  0.0000  0.0000  0.7783  4 Pt 2.89, 4 Np 3.17
Np  0.5000  0.5000  0.5000  8 Zr 3.17, 4 Np 3.32
Pt  0.5000  0.5000  0.0000  8 Zr 2.89